P) Compound: SmAl4Ag2
Source: Alexandria via LeMat-Bulk
Functional: PBE-GGA
Structure: relaxed

a = 4.1666 Å, b = 15.8844 Å, c = 4.1515 Å
α = 90.00°, β = 90.00°, γ = 90.00°
With the nearest neighbours (Å) after each atom.
Space group Cmmm (No. 65)
Unique sites:
Sm1 0.0000 0.0000 0.0000 (multiplicity 2)  8 Ag 3.24, 4 Al 3.62
Al1 0.0000 0.1871 0.5000 (multiplicity 4)  2 Ag 2.64, 8 Al 2.85-2.94
Al2 0.0000 0.3100 0.0000 (multiplicity 4)  2 Ag 2.66, 8 Al 2.82-2.94
Ag1 0.0000 0.4147 0.5000 (multiplicity 4)  4 Al 2.64-2.66, 1 Ag 2.71

Output
The total moment comes out at 0.00 Bohr magnetons per cell.

=====

Q) Compound: SmAl4Ag2
Source: Alexandria via LeMat-Bulk
Functional: PBE-GGA
Structure: relaxed

a = 9.4419 Å, b = 6.6603 Å, c = 5.1576 Å
α = 90.00°, β = 122.50°, γ = 90.00°
With the nearest neighbours (Å) after each atom.
Space group C2/m (No. 12)
Unique sites:
Sm1 0.0000 0.0000 0.0000 (multiplicity 2)  12 Al 3.18-3.36
Al1 0.1881 0.2026 0.7059 (multiplicity 8)  2 Ag 2.64-2.76, 2 Al 2.68-2.70
Ag1 0.0600 0.5000 0.3053 (multiplicity 4)  4 Al 2.64-2.76, 2 Ag 2.71-2.79

Output
The total moment comes out at 0.00 Bohr magnetons per cell.

=====

P) (19 meV per atom below the next structure)

=====

P) Compound: SmAl2Ag6
Source: Alexandria via LeMat-Bulk
Functional: PBE-GGA
Structure: relaxed

a = 11.8740 Å, b = 11.8740 Å, c = 11.8740 Å
α = 90.00°, β = 90.00°, γ = 90.00°
With the nearest neighbours (Å) after each atom.
Space group Fd-3m (No. 227, origin choice 2)
Unique sites:
Sm1 0.1250 0.1250 0.1250 (multiplicity 8)  6 Ag 2.99
Al1 0.0000 0.0000 0.5000 (multiplicity 16)  6 Ag 2.56
Ag1 0.1233 0.3750 0.8750 (multiplicity 48)  2 Al 2.56

Output
The total moment comes out at 0.00 Bohr magnetons per cell.

=====

Q) Compound: SmAl2Ag6
Source: Alexandria via LeMat-Bulk
Functional: PBE-GGA
Structure: relaxed

a = 4.3080 Å, b = 4.3080 Å, c = 9.4769 Å
α = 90.00°, β = 90.00°, γ = 90.00°
With the nearest neighbours (Å) after each atom.
Space group P4/mmm (No. 123)
Unique sites:
Sm1 0.0000 0.0000 0.0000 (multiplicity 1)  8 Al 3.30, 8 Ag 3.49
Al1 0.5000 0.5000 0.1332 (multiplicity 2)  1 Al 2.52, 4 Ag 2.61
Ag1 0.0000 0.0000 0.5000 (multiplicity 1)  12 Ag 2.94-3.05
Ag2 0.0000 0.5000 0.2893 (multiplicity 4)  2 Al 2.61
Ag3 0.5000 0.5000 0.5000 (multiplicity 1)  12 Ag 2.94-3.05

Output
The total moment comes out at 0.00 Bohr magnetons per cell.

=====

Q) (413 meV per atom below the next structure)

=====

P) Compound: Al2Ag6Sn
Source: Alexandria via LeMat-Bulk
Functional: PBE-GGA
Structure: relaxed

a = 13.6393 Å, b = 9.8441 Å, c = 4.9977 Å
α = 90.00°, β = 99.59°, γ = 90.00°
With the nearest neighbours (Å) after each atom.
Space group C2/c (No. 15)
Unique sites:
Al1 0.1654 0.1262 0.0933 (multiplicity 8)  10 Ag 2.74-3.02
Ag1 0.0587 0.1145 0.5313 (multiplicity 8)  5 Ag 2.75-2.99, 4 Al 2.77-3.02, 1 Sn 2.97
Ag2 0.1217 0.3617 0.8063 (multiplicity 8)  2 Al 2.74-2.87, 4 Ag 2.86-2.95, 3 Sn 2.99-3.06
Ag3 0.2304 0.3783 0.3541 (multiplicity 8)  4 Al 2.81-2.89, 5 Ag 2.84-2.95, 1 Sn 3.10
Sn1 0.0000 0.3755 0.2500 (multiplicity 4)  10 Ag 2.97-3.10

Output
The total moment comes out at 0.00 Bohr magnetons per cell.

=====

Q) Compound: Al2Ag6Sn
Source: Alexandria via LeMat-Bulk
Functional: PBE-GGA
Structure: relaxed

a = 13.2910 Å, b = 8.4304 Å, c = 3.0293 Å
α = 90.00°, β = 96.27°, γ = 90.00°
With the nearest neighbours (Å) after each atom.
Space group C2/m (No. 12)
Unique sites:
Al1 0.1626 0.0000 0.1391 (multiplicity 4)  10 Ag 2.80-3.08, 2 Al 3.03
Ag1 0.0000 0.1677 0.5000 (multiplicity 4)  5 Ag 2.83-3.03, 4 Al 2.89-3.08
Ag2 0.1776 0.3298 0.2153 (multiplicity 8)  1 Sn 2.78, 6 Ag 2.79-3.03, 3 Al 2.80-3.08
Sn1 0.0000 0.5000 0.0000 (multiplicity 2)  4 Ag 2.78, 2 Sn 3.03

Output
The total moment comes out at 0.00 Bohr magnetons per cell.

=====

P) (30 meV per atom below the next structure)

=====

P) Compound: AlAg2Sn2
Source: Alexandria via LeMat-Bulk
Functional: PBE-GGA
Structure: relaxed

a = 7.1251 Å, b = 7.1251 Å, c = 4.4225 Å
α = 90.00°, β = 90.00°, γ = 90.00°
With the nearest neighbours (Å) after each atom.
Space group P4/mbm (No. 127)
Unique sites:
Al1 0.0000 0.0000 0.0000 (multiplicity 2)  4 Ag 2.75
Ag1 0.1418 0.3582 0.0000 (multiplicity 4)  2 Al 2.75, 1 Ag 2.86, 2 Sn 2.93
Sn1 0.1679 0.6679 0.5000 (multiplicity 4)  6 Ag 2.93-3.13

Output
The total moment comes out at 0.00 Bohr magnetons per cell.

=====

Q) Compound: AlAg2Sn2
Source: Alexandria via LeMat-Bulk
Functional: PBE-GGA
Structure: relaxed

a = 8.6382 Å, b = 8.6382 Å, c = 3.0626 Å
α = 90.00°, β = 90.00°, γ = 90.00°
With the nearest neighbours (Å) after each atom.
Space group P4/mbm (No. 127)
Unique sites:
Al1 0.0000 0.0000 0.0000 (multiplicity 2)  2 Al 3.06, 4 Sn 3.20
Ag1 0.1238 0.3762 0.5000 (multiplicity 4)  6 Sn 2.92-3.01, 3 Ag 3.02-3.06
Sn1 0.1723 0.6723 0.0000 (multiplicity 4)  6 Ag 2.92-3.01, 2 Sn 3.06, 2 Al 3.20

Output
The total moment comes out at 0.00 Bohr magnetons per cell.

=====

P) (80 meV per atom below the next structure)

=====

P) Compound: AlAg3Sn
Source: Alexandria via LeMat-Bulk
Functional: PBE-GGA
Structure: relaxed

a = 4.9055 Å, b = 4.9055 Å, c = 4.9055 Å
α = 90.00°, β = 90.00°, γ = 90.00°
With the nearest neighbours (Å) after each atom.
Space group Pm-3m (No. 221)
Unique sites:
Al1 0.0000 0.0000 0.0000 (multiplicity 1)  6 Ag 2.45
Ag1 0.0000 0.0000 0.5000 (multiplicity 3)  2 Al 2.45
Sn1 0.5000 0.5000 0.5000 (multiplicity 1)  12 Ag 3.47

Output
The total moment comes out at 0.00 Bohr magnetons per cell.

=====

Q) Compound: AlAg3Sn
Source: Alexandria via LeMat-Bulk
Functional: PBE-GGA
Structure: relaxed

a = 5.2347 Å, b = 5.2347 Å, c = 5.2347 Å
α = 90.00°, β = 90.00°, γ = 90.00°
With the nearest neighbours (Å) after each atom.
Space group Pm-3m (No. 221)
Unique sites:
Al1 0.0000 0.0000 0.0000 (multiplicity 1)  12 Ag 3.70
Ag1 0.0000 0.5000 0.5000 (multiplicity 3)  2 Sn 2.62
Sn1 0.5000 0.5000 0.5000 (multiplicity 1)  6 Ag 2.62

Output
The total moment comes out at 0.00 Bohr magnetons per cell.

=====

R) Compound: AlAg3Sn
Source: Alexandria via LeMat-Bulk
Functional: PBE-GGA
Structure: relaxed

a = 6.6803 Å, b = 4.0303 Å, c = 7.1806 Å
α = 90.00°, β = 96.97°, γ = 90.00°
With the nearest neighbours (Å) after each atom.
Space group P2_1/m (No. 11)
Unique sites:
Al1 0.0582 0.2500 0.1469 (multiplicity 2)  6 Ag 2.75-2.86, 2 Al 2.95
Ag1 0.1468 0.7500 0.4267 (multiplicity 2)  3 Sn 2.85-3.05, 2 Al 2.86, 6 Ag 2.92-3.08
Ag2 0.3211 0.7500 0.0503 (multiplicity 2)  3 Al 2.75-2.81, 3 Ag 2.97-3.07, 3 Sn 2.99-3.00
Ag3 0.4418 0.2500 0.3462 (multiplicity 2)  1 Al 2.78, 7 Ag 2.92-3.02, 2 Sn 2.93
Sn1 0.2635 0.2500 0.7393 (multiplicity 2)  9 Ag 2.85-3.19, 2 Al 3.13

Output
The total moment comes out at 0.00 Bohr magnetons per cell.

=====

R) (360 meV per atom below the next structure)

=====

P) Compound: AlAg8Sn2
Source: Alexandria via LeMat-Bulk
Functional: PBE-GGA
Structure: relaxed

a = 4.3974 Å, b = 4.3974 Å, c = 11.1103 Å
α = 90.00°, β = 90.00°, γ = 90.00°
With the nearest neighbours (Å) after each atom.
Space group P4/mmm (No. 123)
Unique sites:
Al1 0.0000 0.0000 0.0000 (multiplicity 1)  8 Ag 2.66
Ag1 0.0000 0.5000 0.1341 (multiplicity 4)  2 Al 2.66
Ag2 0.0000 0.5000 0.5000 (multiplicity 2)  8 Ag 2.98-3.11, 4 Sn 3.01
Ag3 0.5000 0.5000 0.3194 (multiplicity 2)  8 Ag 2.98-3.01, 4 Sn 3.11
Sn1 0.0000 0.0000 0.3149 (multiplicity 2)  12 Ag 2.98-3.11

Output
The total moment comes out at 0.00 Bohr magnetons per cell.

=====

Q) Compound: AlAg8Sn2
Source: Alexandria via LeMat-Bulk
Functional: PBE-GGA
Structure: relaxed

a = 5.1572 Å, b = 5.2102 Å, c = 7.8921 Å
α = 91.39°, β = 97.09°, γ = 98.34°
With the nearest neighbours (Å) after each atom.
Space group P-1 (No. 2)
Unique sites:
Al1 0.0000 0.0000 0.0000 (multiplicity 1)  10 Ag 2.84-3.02, 2 Sn 3.10
Ag1 0.0858 0.1742 0.3493 (multiplicity 2)  1 Al 2.84, 8 Ag 2.89-3.16, 3 Sn 2.96-3.03
Ag2 0.2660 0.5494 0.0879 (multiplicity 2)  7 Ag 2.89-3.03, 2 Al 2.94-3.01, 3 Sn 2.98-3.03
Ag3 0.3653 0.7325 0.4587 (multiplicity 2)  3 Sn 2.93-3.00, 9 Ag 2.95-3.10
Ag4 0.4714 0.9116 0.8253 (multiplicity 2)  8 Ag 2.85-3.06, 2 Al 2.87-3.02, 2 Sn 3.02-3.05
Sn1 0.1906 0.3643 0.7206 (multiplicity 2)  11 Ag 2.93-3.05, 1 Al 3.10

Output
The total moment comes out at 0.00 Bohr magnetons per cell.

=====

Q) (29 meV per atom below the next structure)

=====

P) Compound: Sr2Al5Ag3
Source: Alexandria via LeMat-Bulk
Functional: PBE-GGA
Structure: relaxed

a = 4.3863 Å, b = 4.3863 Å, c = 11.7659 Å
α = 90.00°, β = 90.00°, γ = 90.00°
With the nearest neighbours (Å) after each atom.
Space group P-4m2 (No. 115)
Unique sites:
Sr1 0.0000 0.5000 0.2454 (multiplicity 2)  6 Ag 3.36-3.71, 10 Al 3.37-3.71
Al1 0.0000 0.0000 0.0000 (multiplicity 1)  4 Al 2.70
Al2 0.0000 0.0000 0.5000 (multiplicity 1)  8 Ag 2.78-3.10
Al3 0.0000 0.5000 0.8664 (multiplicity 2)  1 Ag 2.61, 4 Al 2.70
Al4 0.5000 0.5000 0.0000 (multiplicity 1)  4 Al 2.70
Ag1 0.0000 0.5000 0.6448 (multiplicity 2)  3 Al 2.61-2.78, 2 Ag 2.78
Ag2 0.5000 0.5000 0.5000 (multiplicity 1)  4 Ag 2.78, 4 Al 3.10

Output
The total moment comes out at 0.00 Bohr magnetons per cell.

=====

Q) Compound: Sr2Al5Ag3
Source: Alexandria via LeMat-Bulk
Functional: PBE-GGA
Structure: relaxed

a = 11.2311 Å, b = 12.5628 Å, c = 6.3242 Å
α = 90.00°, β = 90.00°, γ = 90.00°
With the nearest neighbours (Å) after each atom.
Space group Ibam (No. 72)
Unique sites:
Sr1 0.2464 0.1271 0.0000 (multiplicity 8)  6 Ag 3.37-3.57, 10 Al 3.39-3.63
Al1 0.0000 0.2599 0.2500 (multiplicity 8)  2 Ag 2.68, 2 Al 2.70
Al2 0.0000 0.5000 0.2500 (multiplicity 4)  4 Ag 2.68
Al3 0.1265 0.1279 0.5000 (multiplicity 8)  3 Ag 2.64-2.66, 2 Al 2.70
Ag1 0.0000 0.0000 0.2500 (multiplicity 4)  4 Al 2.66
Ag2 0.1383 0.3798 0.0000 (multiplicity 8)  5 Al 2.64-2.68

Output
The total moment comes out at 0.00 Bohr magnetons per cell.

=====

Q) (38 meV per atom below the next structure)

=====

P) Compound: SrAl3Ag3
Source: Alexandria via LeMat-Bulk
Functional: PBE-GGA
Structure: relaxed

a = 6.9012 Å, b = 6.9012 Å, c = 22.9356 Å
α = 90.00°, β = 90.00°, γ = 120.00°
With the nearest neighbours (Å) after each atom.
Space group R-3 (No. 148, hexagonal axes)
Unique sites:
Sr1 0.0000 0.0000 0.1640 (multiplicity 6)  6 Ag 3.20-3.53, 3 Al 3.44
Al1 0.0599 0.2734 0.7060 (multiplicity 18)  4 Ag 2.60-2.73
Ag1 0.0353 0.2518 0.5869 (multiplicity 18)  4 Al 2.60-2.73, 2 Ag 2.82

Output
The total moment comes out at 0.00 Bohr magnetons per cell.

=====

Q) Compound: SrAl3Ag3
Source: Alexandria via LeMat-Bulk
Functional: PBE-GGA
Structure: relaxed

a = 7.1368 Å, b = 4.6620 Å, c = 8.8018 Å
α = 90.00°, β = 91.85°, γ = 90.00°
With the nearest neighbours (Å) after each atom.
Space group P2_1/m (No. 11)
Unique sites:
Sr1 0.0873 0.2500 0.1655 (multiplicity 2)  3 Al 3.25-3.41, 9 Ag 3.37-3.55
Al1 0.2893 0.2500 0.5021 (multiplicity 2)  4 Ag 2.73-2.77, 6 Al 2.77-3.00
Al2 0.3940 0.7500 0.3069 (multiplicity 2)  3 Ag 2.58-2.73, 3 Al 2.77-2.78
Al3 0.3945 0.7500 0.6864 (multiplicity 2)  4 Ag 2.75-2.85, 5 Al 2.78-2.92
Ag1 0.0946 0.7500 0.4637 (multiplicity 2)  5 Al 2.58-2.85, 2 Ag 2.78
Ag2 0.2607 0.2500 0.8141 (multiplicity 2)  4 Al 2.72-2.77, 2 Ag 2.93
Ag3 0.3712 0.7500 0.9972 (multiplicity 2)  2 Al 2.73-2.75, 4 Ag 2.93-2.97

Output
The total moment comes out at 0.00 Bohr magnetons per cell.

=====

Q) (142 meV per atom below the next structure)

=====

P) Compound: Sr2Al3Ag5
Source: Alexandria via LeMat-Bulk
Functional: PBE-GGA
Structure: relaxed

a = 11.0000 Å, b = 13.2133 Å, c = 6.2164 Å
α = 90.00°, β = 90.00°, γ = 90.00°
With the nearest neighbours (Å) after each atom.
Space group Ibam (No. 72)
Unique sites:
Sr1 0.2290 0.1375 0.0000 (multiplicity 8)  10 Ag 3.27-3.59, 4 Al 3.44-3.57
Al1 0.0000 0.5000 0.2500 (multiplicity 4)  6 Ag 2.74-2.83
Al2 0.0953 0.1421 0.5000 (multiplicity 8)  5 Ag 2.65-2.67
Ag1 0.0000 0.0000 0.2500 (multiplicity 4)  4 Al 2.65
Ag2 0.0000 0.2859 0.2500 (multiplicity 8)  3 Al 2.67-2.83, 2 Ag 2.90
Ag3 0.1704 0.4046 0.0000 (multiplicity 8)  3 Al 2.65-2.74, 2 Ag 2.90

Output
The total moment comes out at 0.00 Bohr magnetons per cell.

=====

Q) Compound: Sr2Al3Ag5
Source: Alexandria via LeMat-Bulk
Functional: PBE-GGA
Structure: relaxed

a = 4.4370 Å, b = 4.4370 Å, c = 11.6975 Å
α = 90.00°, β = 90.00°, γ = 90.00°
With the nearest neighbours (Å) after each atom.
Space group P-4m2 (No. 115)
Unique sites:
Sr1 0.0000 0.5000 0.2465 (multiplicity 2)  10 Ag 3.36-3.70, 6 Al 3.43-3.64
Al1 0.0000 0.0000 0.0000 (multiplicity 1)  4 Al 2.68
Al2 0.0000 0.5000 0.8717 (multiplicity 2)  3 Ag 2.59-2.68, 2 Al 2.68
Ag1 0.0000 0.0000 0.5000 (multiplicity 1)  8 Ag 2.83-3.14
Ag2 0.0000 0.5000 0.6505 (multiplicity 2)  1 Al 2.59, 4 Ag 2.83
Ag3 0.5000 0.5000 0.0000 (multiplicity 1)  4 Al 2.68
Ag4 0.5000 0.5000 0.5000 (multiplicity 1)  8 Ag 2.83-3.14

Output
The total moment comes out at 0.00 Bohr magnetons per cell.

=====

P) (32 meV per atom below the next structure)

=====

P) Compound: TaAlAg2
Source: Alexandria via LeMat-Bulk
Functional: PBE-GGA
Structure: relaxed

a = 2.8843 Å, b = 4.2238 Å, c = 5.8622 Å
α = 90.00°, β = 104.07°, γ = 90.00°
With the nearest neighbours (Å) after each atom.
Space group Pm (No. 6)
Unique sites:
Ta1 0.0000 0.0000 0.0000 (multiplicity 1)  4 Al 2.83, 2 Ta 2.88, 7 Ag 2.93-3.12
Al1 0.3950 0.5000 0.7863 (multiplicity 1)  3 Ag 2.62-2.79, 4 Ta 2.83, 2 Al 2.88
Ag1 0.2598 0.0000 0.5145 (multiplicity 1)  2 Al 2.62, 6 Ag 2.88-2.89, 1 Ta 2.93
Ag2 0.6410 0.5000 0.2777 (multiplicity 1)  1 Al 2.79, 6 Ag 2.88-2.89, 4 Ta 3.00-3.01

Output
The total moment comes out at 0.00 Bohr magnetons per cell.

=====

Q) Compound: TaAlAg2
Source: Alexandria via LeMat-Bulk
Functional: PBE-GGA
Structure: relaxed

a = 2.9172 Å, b = 2.9172 Å, c = 8.0373 Å
α = 90.00°, β = 90.00°, γ = 90.00°
With the nearest neighbours (Å) after each atom.
Space group P4mm (No. 99)
Unique sites:
Ta1 0.0000 0.0000 0.0000 (multiplicity 1)  4 Al 2.81, 4 Ta 2.92, 4 Ag 2.96
Al1 0.5000 0.5000 0.7624 (multiplicity 1)  4 Ag 2.78, 4 Ta 2.81, 4 Al 2.92
Ag1 0.0000 0.0000 0.5299 (multiplicity 1)  4 Al 2.78, 8 Ag 2.92-2.97
Ag2 0.5000 0.5000 0.2638 (multiplicity 1)  8 Ag 2.92-2.97, 4 Ta 2.96

Output
The total moment comes out at 0.00 Bohr magnetons per cell.

=====

R) Compound: TaAlAg2
Source: Alexandria via LeMat-Bulk
Functional: PBE-GGA
Structure: relaxed

a = 2.8549 Å, b = 4.2806 Å, c = 5.6860 Å
α = 90.00°, β = 90.00°, γ = 90.00°
With the nearest neighbours (Å) after each atom.
Space group Pmmm (No. 47)
Unique sites:
Ta1 0.0000 0.0000 0.0000 (multiplicity 1)  2 Al 2.84, 2 Ta 2.85, 8 Ag 2.94
Al1 0.0000 0.0000 0.5000 (multiplicity 1)  2 Ta 2.84, 2 Al 2.85, 8 Ag 2.94
Ag1 0.5000 0.5000 0.2514 (multiplicity 2)  4 Ag 2.83-2.86, 4 Al 2.94, 4 Ta 2.94

Output
The total moment comes out at 0.00 Bohr magnetons per cell.

=====

Q) (126 meV per atom below the next structure)